[1]
The following is a GGA-PBE calculation of a geometry-optimized Zr2TiPC structure, from the Alexandria database.

Summary:
- Formation enthalpy at 0 K: -2.337 eV/f.u.
- Spin magnetization: 0.00 μB/f.u.

```
data_Zr2TiPC
_symmetry_space_group_name_H-M 'P 4/m m m'
_symmetry_Int_Tables_number 123
_symmetry_space_group_name_Hall '-P 4 2'
_cell_length_a 4.5389
_cell_length_b 4.5389
_cell_length_c 4.0048
_cell_angle_alpha 90.00
_cell_angle_beta 90.00
_cell_angle_gamma 90.00
loop_
_atom_site_label
_atom_site_fract_x
_atom_site_fract_y
_atom_site_fract_z
Zr1 0.0000 0.5000 0.0000
Ti1 0.0000 0.0000 0.5000
P1 0.5000 0.5000 0.5000
C1 0.0000 0.0000 0.0000
```


[2]
The following is a GGA-PBE calculation of a geometry-optimized Tl2PC2 structure, from the Alexandria database.

Summary:
- Formation enthalpy at 0 K: 5.267 eV/f.u.
- Spin magnetization: 0.00 μB/f.u.
- ΔE to the lowest computed polymorph: 0 meV per atom

```
data_Tl2PC2
_symmetry_space_group_name_H-M 'P 4/m b m'
_symmetry_Int_Tables_number 127
_symmetry_space_group_name_Hall '-P 4 2ab'
_cell_length_a 7.7152
_cell_length_b 7.7152
_cell_length_c 3.6320
_cell_angle_alpha 90.00
_cell_angle_beta 90.00
_cell_angle_gamma 90.00
loop_
_atom_site_label
_atom_site_fract_x
_atom_site_fract_y
_atom_site_fract_z
Tl1 0.2077 0.2923 0.0000
P1 0.0000 0.0000 0.0000
C1 0.0578 0.4422 0.5000
```


[3]
The following is a GGA-PBE calculation of a geometry-optimized TlP2C structure, from the Alexandria database.

Summary:
- Formation enthalpy at 0 K: 2.728 eV/f.u.
- Spin magnetization: 0.00 μB/f.u.
- ΔE to the lowest computed polymorph: 0 meV per atom

```
data_TlP2C
_symmetry_space_group_name_H-M 'I -4 2 d'
_symmetry_Int_Tables_number 122
_symmetry_space_group_name_Hall 'I -4 2bw'
_cell_length_a 6.0551
_cell_length_b 6.0551
_cell_length_c 7.4804
_cell_angle_alpha 90.00
_cell_angle_beta 90.00
_cell_angle_gamma 90.00
loop_
_atom_site_label
_atom_site_fract_x
_atom_site_fract_y
_atom_site_fract_z
Tl1 0.0000 0.0000 0.0000
P1 0.1284 0.2500 0.6250
C1 0.0000 0.0000 0.5000
```